Material: Ga4SiO8
Method: DFT, SCAN
State: single point on PBEsol structure

D(E_F) in states/eV/f.u.: 0.00
Formation energy (no corrections) in eV per atom: -2.23
SG: C2/m, No. 12

```
Ga4SiO8
1.0
-1.0520 0.9687 -2.5825
2.7394 -3.8276 -4.2388
-5.9646 -4.7683 -1.0461
O Ga Si
8 4 1
Direct
0.6461 0.1716 0.5362
0.8473 0.0989 0.2066
0.4451 0.1782 0.9317
0.3539 0.8284 0.4638
0.1152 0.4726 0.2969
0.1527 0.9011 0.7934
0.5549 0.8218 0.0683
0.8848 0.5274 0.7031
0.7564 0.8434 0.6438
0.2436 0.1566 0.3562
0.5382 0.6453 0.2784
0.4618 0.3547 0.7216
0.0000 0.0000 0.0000
```